# LiCoO2 | OQMD | PBE with a Hubbard U | optimized geometry
data_LiCoO2
_chemical_formula_sum 'Li3 Co3 O6'
_cell_length_a 2.8141
_cell_length_b 2.8141
_cell_length_c 13.9926
_cell_angle_alpha 90.00
_cell_angle_beta 90.00
_cell_angle_gamma 120.00
_space_group_name_H-M_alt 'R -3 m'
_space_group_IT_number 166
_space_group_name_Hall '-R 3 2"'
loop_
_atom_site_label
_atom_site_type_symbol
_atom_site_fract_x
_atom_site_fract_y
_atom_site_fract_z
Li1 Li 0.0000 0.0000 0.0000
Co1 Co 0.0000 0.0000 0.5000
O1 O 0.0000 0.0000 0.2404
# **M_tot**: 0.000 μB/f.u.
# **Uncorrected energy**: -5.6832 eV/atom
# **Crystal system**: trigonal